1.
Compound: LuGeH2O4
Source: OQMD via LeMat-Bulk
Functional: PBE
Structure: optimized geometry

Cell: 6.031 6.026 7.005 Å, 54.51 54.45 71.04°
Positions (direct):
1 Lu 0.000 0.000 0.000
2 Lu 0.250 0.250 0.250
3 Ge 0.455 0.455 0.545
4 Ge 0.705 0.705 0.795
5 H 0.084 0.659 0.833
6 H 0.417 0.827 0.166
7 H 0.659 0.084 0.423
8 H 0.827 0.417 0.591
9 O 0.216 0.324 0.916
10 O 0.324 0.216 0.544
11 O 0.334 0.706 0.034
12 O 0.455 0.855 0.272
13 O 0.706 0.334 0.926
14 O 0.833 0.978 0.395
15 O 0.855 0.455 0.417
16 O 0.978 0.833 0.795

Values from the calculation:
Raw total energy: -6.25 eV/atom
Offset from the most stable computed form: 1 meV per atom

2.
Compound: LuGeHO4
Source: OQMD via LeMat-Bulk
Functional: PBE
Structure: optimized geometry

Cell: 4.509 6.438 5.084 Å, 90.00 97.67 90.00°
Positions (direct):
1 Lu 0.055 0.250 0.201
2 Lu 0.945 0.750 0.799
3 Ge 0.430 0.750 0.323
4 Ge 0.570 0.250 0.677
5 H 0.500 0.000 0.000
6 H 0.500 0.500 0.000
7 O 0.179 0.250 0.645
8 O 0.278 0.545 0.102
9 O 0.278 0.955 0.102
10 O 0.366 0.750 0.648
11 O 0.634 0.250 0.352
12 O 0.722 0.045 0.898
13 O 0.722 0.455 0.898
14 O 0.821 0.750 0.355

Values from the calculation:
Raw total energy: -6.78 eV/atom
Offset from the most stable computed form: 99 meV per atom

3.
Compound: LuGeHO4
Source: OQMD via LeMat-Bulk
Functional: PBE
Structure: optimized geometry

Cell: 10.902 5.881 4.918 Å, 90.00 90.00 90.00°
Positions (direct):
1 Lu 0.244 0.250 0.033
2 Lu 0.256 0.750 0.533
3 Lu 0.744 0.250 0.467
4 Lu 0.756 0.750 0.967
5 Ge 0.068 0.750 0.977
6 Ge 0.432 0.250 0.477
7 Ge 0.568 0.750 0.523
8 Ge 0.932 0.250 0.023
9 H 0.000 0.000 0.500
10 H 0.000 0.500 0.500
11 H 0.500 0.000 0.000
12 H 0.500 0.500 0.000
13 O 0.057 0.750 0.348
14 O 0.065 0.250 0.218
15 O 0.166 0.535 0.841
16 O 0.166 0.965 0.841
17 O 0.334 0.035 0.341
18 O 0.334 0.465 0.341
19 O 0.435 0.750 0.718
20 O 0.443 0.250 0.848
21 O 0.557 0.750 0.152
22 O 0.565 0.250 0.282
23 O 0.666 0.535 0.659
24 O 0.666 0.965 0.659
25 O 0.834 0.035 0.159
26 O 0.834 0.465 0.159
27 O 0.935 0.750 0.782
28 O 0.943 0.250 0.652

Values from the calculation:
Raw total energy: -6.39 eV/atom
Offset from the most stable computed form: 487 meV per atom

4.
Compound: LuGeH2O4
Source: OQMD via LeMat-Bulk
Functional: PBE
Structure: optimized geometry

Cell: 4.914 6.126 5.906 Å, 90.00 104.06 90.00°
Positions (direct):
1 Lu 0.047 0.250 0.166
2 Lu 0.953 0.750 0.834
3 Ge 0.292 0.250 0.702
4 Ge 0.708 0.750 0.298
5 H 0.342 0.750 0.527
6 H 0.500 0.000 0.000
7 H 0.500 0.500 0.000
8 H 0.658 0.250 0.473
9 O 0.047 0.750 0.492
10 O 0.249 0.024 0.937
11 O 0.249 0.476 0.937
12 O 0.439 0.250 0.426
13 O 0.561 0.750 0.574
14 O 0.751 0.524 0.063
15 O 0.751 0.976 0.063
16 O 0.953 0.250 0.508

Values from the calculation:
Raw total energy: -6.24 eV/atom
Offset from the most stable computed form: 7 meV per atom

5.
Compound: LuGeHO4
Source: OQMD via LeMat-Bulk
Functional: PBE
Structure: optimized geometry

Cell: 7.704 6.675 6.725 Å, 90.00 112.97 90.00°
Positions (direct):
1 Lu 0.202 0.142 0.097
2 Lu 0.202 0.358 0.597
3 Lu 0.798 0.642 0.403
4 Lu 0.798 0.858 0.903
5 Ge 0.242 0.605 0.124
6 Ge 0.242 0.895 0.624
7 Ge 0.758 0.105 0.376
8 Ge 0.758 0.395 0.876
9 H 0.477 0.693 0.889
10 H 0.477 0.807 0.389
11 H 0.523 0.193 0.611
12 H 0.523 0.307 0.111
13 O 0.105 0.679 0.548
14 O 0.105 0.821 0.048
15 O 0.180 0.080 0.768
16 O 0.180 0.420 0.268
17 O 0.279 0.048 0.432
18 O 0.279 0.452 0.932
19 O 0.478 0.694 0.296
20 O 0.478 0.806 0.796
21 O 0.522 0.194 0.204
22 O 0.522 0.306 0.704
23 O 0.721 0.548 0.068
24 O 0.721 0.952 0.568
25 O 0.820 0.580 0.732
26 O 0.820 0.920 0.232
27 O 0.895 0.179 0.952
28 O 0.895 0.321 0.452

Values from the calculation:
Raw total energy: -6.88 eV/atom
Offset from the most stable computed form: 0 meV per atom

6.
Compound: LuGeHO4
Source: OQMD via LeMat-Bulk
Functional: PBE
Structure: optimized geometry

Cell: 6.784 6.222 7.673 Å, 90.00 96.00 90.00°
Positions (direct):
1 Lu 0.147 0.147 0.333
2 Lu 0.147 0.353 0.833
3 Lu 0.853 0.647 0.167
4 Lu 0.853 0.853 0.667
5 Ge 0.315 0.597 0.235
6 Ge 0.315 0.903 0.735
7 Ge 0.685 0.097 0.265
8 Ge 0.685 0.403 0.765
9 H 0.222 0.576 0.539
10 H 0.222 0.924 0.039
11 H 0.778 0.076 0.961
12 H 0.778 0.424 0.461
13 O 0.152 0.675 0.705
14 O 0.152 0.825 0.205
15 O 0.158 0.091 0.609
16 O 0.158 0.409 0.109
17 O 0.252 0.018 0.937
18 O 0.252 0.482 0.437
19 O 0.453 0.140 0.315
20 O 0.453 0.360 0.815
21 O 0.547 0.640 0.185
22 O 0.547 0.860 0.685
23 O 0.748 0.518 0.563
24 O 0.748 0.982 0.063
25 O 0.842 0.591 0.891
26 O 0.842 0.909 0.391
27 O 0.848 0.175 0.795
28 O 0.848 0.325 0.295

Values from the calculation:
Raw total energy: -6.81 eV/atom
Offset from the most stable computed form: 64 meV per atom

7.
Compound: LuGeH2O4
Source: OQMD via LeMat-Bulk
Functional: PBE
Structure: optimized geometry

Cell: 4.971 6.097 11.942 Å, 90.00 104.43 90.00°
Positions (direct):
1 Lu 0.049 0.221 0.336
2 Lu 0.049 0.279 0.836
3 Lu 0.951 0.721 0.164
4 Lu 0.951 0.779 0.664
5 Ge 0.277 0.204 0.100
6 Ge 0.277 0.296 0.600
7 Ge 0.723 0.704 0.400
8 Ge 0.723 0.796 0.900
9 H 0.352 0.746 0.512
10 H 0.352 0.754 0.012
11 H 0.474 0.027 0.740
12 H 0.474 0.473 0.240
13 H 0.526 0.527 0.760
14 H 0.526 0.973 0.260
15 H 0.648 0.246 0.988
16 H 0.648 0.254 0.488
17 O 0.055 0.747 0.497
18 O 0.055 0.753 0.997
19 O 0.215 0.501 0.720
20 O 0.215 0.999 0.220
21 O 0.262 0.053 0.711
22 O 0.262 0.447 0.211
23 O 0.431 0.247 0.965
24 O 0.431 0.253 0.465
25 O 0.569 0.747 0.535
26 O 0.569 0.753 0.035
27 O 0.738 0.553 0.789
28 O 0.738 0.947 0.289
29 O 0.785 0.001 0.780
30 O 0.785 0.499 0.280
31 O 0.945 0.247 0.003
32 O 0.945 0.253 0.503

Values from the calculation:
Raw total energy: -6.25 eV/atom
Offset from the most stable computed form: 0 meV per atom

8.
Compound: NbGeH
Source: OQMD via LeMat-Bulk
Functional: PBE
Structure: optimized geometry

Cell: 3.460 3.460 3.599 Å, 90.00 90.00 120.00°
Positions (direct):
1 Nb 0.000 0.000 0.000
2 Ge 0.667 0.333 0.500
3 H 0.333 0.667 0.000

Values from the calculation:
Raw total energy: -6.35 eV/atom

9.
Compound: NdGeH2O4
Source: OQMD via LeMat-Bulk
Functional: PBE
Structure: optimized geometry

Cell: 6.391 6.391 6.391 Å, 115.31 115.31 98.34°
Positions (direct):
1 Nd 0.000 0.000 0.000
2 Nd 0.750 0.250 0.500
3 Ge 0.250 0.750 0.500
4 Ge 0.500 0.500 0.000
5 H 0.025 0.525 0.500
6 H 0.275 0.275 0.000
7 H 0.475 0.975 0.500
8 H 0.725 0.725 0.000
9 O 0.045 0.386 0.318
10 O 0.068 0.727 0.682
11 O 0.136 0.295 0.818
12 O 0.273 0.955 0.341
13 O 0.477 0.318 0.182
14 O 0.614 0.932 0.659
15 O 0.682 0.864 0.159
16 O 0.705 0.523 0.841

Values from the calculation:
Raw total energy: -5.88 eV/atom
Offset from the most stable computed form: 373 meV per atom

10.
Compound: NdGeH2O4
Source: OQMD via LeMat-Bulk
Functional: PBE
Structure: optimized geometry

Cell: 5.006 6.354 6.189 Å, 90.00 103.50 90.00°
Positions (direct):
1 Nd 0.057 0.250 0.186
2 Nd 0.943 0.750 0.814
3 Ge 0.309 0.250 0.721
4 Ge 0.691 0.750 0.279
5 H 0.323 0.750 0.494
6 H 0.500 0.000 0.000
7 H 0.500 0.500 0.000
8 H 0.677 0.250 0.506
9 O 0.024 0.750 0.459
10 O 0.258 0.028 0.932
11 O 0.258 0.472 0.932
12 O 0.465 0.250 0.459
13 O 0.535 0.750 0.541
14 O 0.742 0.528 0.068
15 O 0.742 0.972 0.068
16 O 0.976 0.250 0.541

Values from the calculation:
Raw total energy: -6.21 eV/atom
Offset from the most stable computed form: 38 meV per atom

11.
Compound: NdGeH2O4
Source: OQMD via LeMat-Bulk
Functional: PBE
Structure: optimized geometry

Cell: 6.254 6.194 7.322 Å, 54.36 53.59 72.06°
Positions (direct):
1 Nd 0.000 0.000 0.000
2 Nd 0.250 0.250 0.250
3 Ge 0.529 0.529 0.471
4 Ge 0.779 0.779 0.721
5 H 0.142 0.579 0.829
6 H 0.421 0.801 0.108
7 H 0.579 0.142 0.449
8 H 0.801 0.421 0.671
9 O 0.021 0.887 0.725
10 O 0.237 0.407 0.861
11 O 0.389 0.755 0.013
12 O 0.407 0.237 0.495
13 O 0.525 0.883 0.229
14 O 0.755 0.389 0.843
15 O 0.883 0.525 0.363
16 O 0.887 0.021 0.367

Values from the calculation:
Raw total energy: -6.25 eV/atom
Offset from the most stable computed form: 0 meV per atom

12.
Compound: NdGeH2O4
Source: OQMD via LeMat-Bulk
Functional: PBE
Structure: optimized geometry

Cell: 5.181 6.004 12.193 Å, 90.00 101.68 90.00°
Positions (direct):
1 Nd 0.075 0.105 0.358
2 Nd 0.075 0.395 0.858
3 Nd 0.925 0.605 0.142
4 Nd 0.925 0.895 0.642
5 Ge 0.265 0.131 0.105
6 Ge 0.265 0.369 0.605
7 Ge 0.735 0.631 0.395
8 Ge 0.735 0.869 0.895
9 H 0.363 0.738 0.494
10 H 0.363 0.762 0.994
11 H 0.499 0.633 0.746
12 H 0.499 0.867 0.246
13 H 0.501 0.133 0.754
14 H 0.501 0.367 0.254
15 H 0.637 0.238 0.006
16 H 0.637 0.262 0.506
17 O 0.044 0.740 0.965
18 O 0.044 0.760 0.465
19 O 0.198 0.602 0.709
20 O 0.198 0.898 0.209
21 O 0.301 0.151 0.725
22 O 0.301 0.349 0.225
23 O 0.441 0.235 0.490
24 O 0.441 0.265 0.990
25 O 0.559 0.735 0.010
26 O 0.559 0.765 0.510
27 O 0.699 0.651 0.775
28 O 0.699 0.849 0.275
29 O 0.802 0.102 0.791
30 O 0.802 0.398 0.291
31 O 0.956 0.240 0.535
32 O 0.956 0.260 0.035

Values from the calculation:
Raw total energy: -6.24 eV/atom
Offset from the most stable computed form: 5 meV per atom